PBE ZrAlOs2, optimized geometry; space-group type = No. 216; DFT total energy = -34.57 eV per formula unit; theoretical density = 12.8 Mg/m³
1.0
0.000 3.185 3.185
3.185 0.000 3.185
3.185 3.185 0.000
Zr Al Os
1 1 2
Cartesian
0.000 0.000 0.000
4.777 4.777 4.777
1.592 1.592 1.592
3.185 3.185 3.185

PBE Hf4AlCdC2, optimized geometry; space-group type = No. 187; DFT total energy = -67.97 eV per formula unit; theoretical density = 10.6 Mg/m³
1.0
3.282 0.000 0.000
-1.641 2.842 0.000
0.000 0.000 14.750
Hf Al Cd C
4 1 1 2
Cartesian
0.000 0.000 2.341
0.000 0.000 12.409
1.641 0.947 4.828
1.641 0.947 9.922
1.641 0.947 0.000
0.000 0.000 7.375
0.000 1.895 3.598
0.000 1.895 11.153

PBE Tl2Hg5, optimized geometry; space-group type = No. 166; DFT total energy = -6.20 eV per formula unit; theoretical density = 12.5 Mg/m³
1.0
2.665 1.539 7.612
-2.665 1.539 7.612
0.000 -3.077 7.612
Tl Hg
2 5
Cartesian
0.000 0.000 1.680
0.000 0.000 21.155
0.000 0.000 4.893
0.000 0.000 8.095
0.000 0.000 11.418
0.000 0.000 14.740
0.000 0.000 17.942

PBE Tl2OsF6, optimized geometry; space-group type = No. 164; DFT total energy = -42.38 eV per formula unit; theoretical density = 9.1 Mg/m³
1.0
5.777 0.000 0.000
-2.889 5.003 0.000
0.000 0.000 4.491
Tl Os F
2 1 6
Cartesian
0.000 3.336 0.983
2.889 1.668 3.509
0.000 0.000 2.246
0.000 1.644 3.317
-1.465 4.181 3.317
1.424 0.822 1.174
1.465 4.181 3.317
4.354 0.822 1.174
2.889 3.360 1.174

PBE Pr4SiAg3, optimized geometry; space-group type = No. 6; DFT total energy = -35.69 eV per formula unit; theoretical density = 7.0 Mg/m³
1.0
6.060 0.000 0.000
0.000 4.744 0.000
-0.017 0.000 7.520
Pr Si Ag
4 1 3
Cartesian
0.000 0.000 0.000
1.310 0.000 3.663
2.903 2.372 6.385
4.411 2.372 2.526
1.303 2.372 1.629
2.978 0.000 0.990
4.318 0.000 4.781
5.939 2.372 5.357

PBE HfAgSn, optimized geometry; space-group type = No. 216; DFT total energy = -16.57 eV per formula unit; theoretical density = 9.9 Mg/m³
1.0
0.000 3.239 3.239
3.239 0.000 3.239
3.239 3.239 0.000
Hf Ag Sn
1 1 1
Cartesian
0.000 0.000 0.000
1.619 1.619 1.619
3.239 3.239 3.239

PBE KAlW, optimized geometry; space-group type = No. 216; DFT total energy = -10.04 eV per formula unit; theoretical density = 4.5 Mg/m³
1.0
0.000 3.593 3.593
3.593 0.000 3.593
3.593 3.593 0.000
K Al W
1 1 1
Cartesian
0.000 0.000 0.000
5.389 5.389 5.389
1.796 1.796 1.796

PBE LaLuTe3, optimized geometry; space-group type = No. 20; DFT total energy = -26.25 eV per formula unit; theoretical density = 7.0 Mg/m³
1.0
2.176 -7.058 0.000
2.176 7.058 0.000
0.000 0.000 10.775
La Lu Te
2 2 6
Cartesian
2.176 3.531 8.081
2.176 -3.531 2.694
0.006 0.000 0.000
4.345 0.000 5.388
2.176 5.876 2.694
2.172 2.040 4.758
2.179 2.040 0.630
2.172 -2.040 6.017
2.179 -2.040 10.145
2.176 -5.876 8.081